# Na3VSi4H2O12 (PBE+U, optimized geometry)
data_Na3VSi4H2O12
_chemical_formula_sum 'Na6 V2 Si8 H4 O24'
_cell_length_a 7.601
_cell_length_b 8.807
_cell_length_c 9.195
_cell_angle_alpha 62.51
_cell_angle_beta 83.87
_cell_angle_gamma 88.31
_space_group_name_H-M_alt 'P -1'
_space_group_IT_number 2
_space_group_name_Hall '-P 1'
loop_
_atom_site_label
_atom_site_type_symbol
_atom_site_fract_x
_atom_site_fract_y
_atom_site_fract_z
Na1 Na 0.137 0.105 0.174
Na2 Na 0.159 0.652 0.574
Na3 Na 0.352 0.764 0.870
V1 V 0.000 0.500 0.000
V2 V 0.500 0.000 0.000
Si1 Si 0.103 0.756 0.168
Si2 Si 0.237 0.410 0.306
Si3 Si 0.277 0.210 0.681
Si4 Si 0.385 0.409 0.844
H1 H 0.301 0.025 0.463
H2 H 0.404 0.936 0.363
O1 O 0.059 0.715 0.020
O2 O 0.069 0.164 0.764
O3 O 0.104 0.342 0.223
O4 O 0.142 0.570 0.335
O5 O 0.233 0.533 0.863
O6 O 0.267 0.887 0.120
O7 O 0.273 0.251 0.487
O8 O 0.292 0.932 0.434
O9 O 0.342 0.390 0.678
O10 O 0.405 0.222 0.996
O11 O 0.408 0.055 0.767
O12 O 0.429 0.477 0.199
# - E_tot: -300.79 eV for the cell shown